Entry 1:
Below is a relaxed structure of Y2HoTe2S2, with properties calculated at the PBE level.

Cell and atoms, written as POSCAR:
```
Y2HoTe2S2
1.0
5.0379 0.0000 0.0000
0.0000 5.0379 0.0000
-2.5189 -2.5189 7.8141
Y S Te Ho
2 2 2 1
Cartesian
0.0000 0.0000 6.0586
2.5189 2.5189 1.7555
2.5189 0.0000 0.0000
0.0000 2.5189 0.0000
0.0000 0.0000 2.9600
2.5189 2.5189 4.8541
0.0000 0.0000 0.0000
```

Uncorrected energy, eV/atom: -5.9406
D(E_F), states/eV per atom: 0.299
Magnetization, Bohr magnetons per cell: 0.4
Formation energy without anion corrections, eV/atom: -1.36

***

Entry 2:
Below is a relaxed structure of HoThS3, with properties calculated at the PBE level.

Cell and atoms, written as POSCAR:
```
HoThS3
1.0
3.9776 0.0000 0.0000
0.0000 7.4221 0.0000
0.0000 0.0000 15.0894
Ho Th S
4 4 12
Cartesian
2.9832 1.7688 6.8778
0.9944 1.9423 14.4225
2.9832 5.4798 0.6669
0.9944 5.6533 8.2116
0.9944 0.9502 3.1015
2.9832 6.4719 11.9880
0.9944 4.6612 4.4432
2.9832 2.7609 10.6462
0.9944 0.0876 5.9441
2.9832 2.5824 4.2147
0.9944 6.4801 14.1118
0.9944 4.8397 10.8747
2.9832 0.9420 0.9776
2.9832 6.2934 3.3300
0.9944 3.7986 1.6006
2.9832 3.6234 13.4888
2.9832 4.6530 6.5671
0.9944 1.1286 11.7594
2.9832 7.3345 9.1453
0.9944 2.7690 8.5223
```

Uncorrected energy, eV/atom: -6.8800
D(E_F), states/eV per atom: 0.452
Energy relative to the lowest polymorph listed for this composition, meV/atom: 0
Magnetization, Bohr magnetons per cell: 0.0
Formation energy without anion corrections, eV/atom: -2.00

***

Which formula does entry 1 have?
Y2HoTe2S2

***

Look up the formation energy without anion corrections of the first one.
-1.36 eV/atom

***

Among the records above, which one has the lowest magnetization?
HoThS3